Entry 1:
Density functional theory data (PBE) for a geometry-optimized Li2Ho3Mg7 structure.

ΔE_f ... 0.1157 eV/atom
Relative energy among the computed polymorphs ... 125 meV/atom
Total magnetization ... 0.0 μB per cell
VASP energy ... -27.3 eV per cell
Volume ... 307.3 Å³ per cell

Unit cell a=5.2903 b=5.1292 c=11.3256 alpha=90.00 beta=90.20 gamma=90.00
Positions (direct):
Li (0.0016, 0.0000, 0.2810)
Li (0.9984, 0.0000, 0.7190)
Ho (0.0000, 0.0000, 0.0000)
Ho (0.4972, 0.5000, 0.6562)
Ho (0.5028, 0.5000, 0.3438)
Mg (0.0019, 0.5000, 0.1636)
Mg (0.2559, 0.0000, 0.5003)
Mg (0.4988, 0.0000, 0.8327)
Mg (0.5000, 0.5000, 0.0000)
Mg (0.5012, 0.0000, 0.1673)
Mg (0.7441, 0.0000, 0.4997)
Mg (0.9981, 0.5000, 0.8364)


Entry 2:
Density functional theory data (PBE) for a geometry-optimized LiHo2Mg3 structure.

ΔE_f ... -0.0243 eV/atom
Relative energy among the computed polymorphs ... 31 meV/atom
Total magnetization ... 0.3 μB per cell
VASP energy ... -32.0 eV per cell
Volume ... 304.1 Å³ per cell

Unit cell a=5.1593 b=7.6554 c=8.1160 alpha=90.00 beta=108.41 gamma=90.00
Positions (direct):
Li (0.1623, 0.0000, 0.3213)
Li (0.8377, 0.0000, 0.6787)
Ho (0.1640, 0.5000, 0.3266)
Ho (0.5000, 0.0000, 0.0000)
Ho (0.5000, 0.5000, 0.0000)
Ho (0.8360, 0.5000, 0.6734)
Mg (0.0000, 0.2329, 0.0000)
Mg (0.0000, 0.7671, 0.0000)
Mg (0.3241, 0.2250, 0.6508)
Mg (0.3241, 0.7750, 0.6508)
Mg (0.6759, 0.2250, 0.3492)
Mg (0.6759, 0.7750, 0.3492)


Entry 3:
Density functional theory data (PBE) for a geometry-optimized LiHoMg3 structure.

ΔE_f ... 0.1453 eV/atom
Relative energy among the computed polymorphs ... 143 meV/atom
Total magnetization ... 0.0 μB per cell
VASP energy ... -10.5 eV per cell
Volume ... 116.9 Å³ per cell

Unit cell a=4.8898 b=4.8898 c=4.8898 alpha=90.00 beta=90.00 gamma=90.00
Positions (direct):
Li (0.0000, 0.0000, 0.0000)
Ho (0.5000, 0.5000, 0.5000)
Mg (0.0000, 0.0000, 0.5000)
Mg (0.0000, 0.5000, 0.0000)
Mg (0.5000, 0.0000, 0.0000)


Entry 4:
Density functional theory data (PBE) for a geometry-optimized LiHoMg3 structure.

ΔE_f ... 0.0028 eV/atom
Relative energy among the computed polymorphs ... 0 meV/atom
Total magnetization ... 0.0 μB per cell
VASP energy ... -22.5 eV per cell
Volume ... 238.7 Å³ per cell

Unit cell a=9.1970 b=9.1970 c=5.4102 alpha=95.81 beta=95.81 gamma=31.63
Positions (direct):
Li (0.1729, 0.1729, 0.1540)
Li (0.8271, 0.8271, 0.8460)
Ho (0.4369, 0.4369, 0.7158)
Ho (0.5631, 0.5631, 0.2842)
Mg (0.0562, 0.0562, 0.7437)
Mg (0.2428, 0.2428, 0.6579)
Mg (0.3403, 0.3403, 0.1766)
Mg (0.6597, 0.6597, 0.8234)
Mg (0.7572, 0.7572, 0.3421)
Mg (0.9438, 0.9438, 0.2563)


Entry 5:
Density functional theory data (PBE) for a geometry-optimized LiHo3Mg4 structure.

ΔE_f ... -0.0591 eV/atom
Total magnetization ... 0.0 μB per cell
VASP energy ... -22.5 eV per cell
Volume ... 205.1 Å³ per cell

Unit cell a=3.6885 b=3.6885 c=15.0725 alpha=90.00 beta=90.00 gamma=90.00
Positions (direct):
Li (0.0000, 0.0000, 0.0000)
Ho (0.0000, 0.0000, 0.2467)
Ho (0.0000, 0.0000, 0.5000)
Ho (0.0000, 0.0000, 0.7533)
Mg (0.5000, 0.5000, 0.1093)
Mg (0.5000, 0.5000, 0.3730)
Mg (0.5000, 0.5000, 0.6270)
Mg (0.5000, 0.5000, 0.8907)


Entry 6:
Density functional theory data (PBE) for a geometry-optimized Li2HoMg5 structure.

ΔE_f ... 0.0657 eV/atom
Total magnetization ... 0.0 μB per cell
VASP energy ... -31.7 eV per cell
Volume ... 375.7 Å³ per cell

Unit cell a=8.3348 b=8.3348 c=8.3348 alpha=124.79 beta=124.79 gamma=81.89
Positions (direct):
Li (0.1539, 0.6539, 0.8079)
Li (0.3461, 0.1539, 0.5000)
Li (0.6539, 0.8461, 0.5000)
Li (0.8461, 0.3461, 0.1921)
Ho (0.2500, 0.2500, 0.0000)
Ho (0.7500, 0.7500, 0.0000)
Mg (0.0000, 0.0000, 0.0000)
Mg (0.0042, 0.7965, 0.5000)
Mg (0.2035, 0.7035, 0.2078)
Mg (0.2965, 0.5042, 0.5000)
Mg (0.4958, 0.9958, 0.7922)
Mg (0.5000, 0.5000, 0.0000)
Mg (0.5042, 0.0042, 0.2078)
Mg (0.7035, 0.4958, 0.5000)
Mg (0.7965, 0.2965, 0.7922)
Mg (0.9958, 0.2035, 0.5000)


Entry 7:
Density functional theory data (PBE) for a geometry-optimized Li6HoMg8 structure.

ΔE_f ... 0.0624 eV/atom
Total magnetization ... 0.0 μB per cell
VASP energy ... -27.9 eV per cell
Volume ... 346.4 Å³ per cell

Unit cell a=7.5956 b=7.5956 c=7.5956 alpha=65.42 beta=65.42 gamma=65.42
Positions (direct):
Li (0.1171, 0.3794, 0.6211)
Li (0.3794, 0.6211, 0.1171)
Li (0.3789, 0.8829, 0.6206)
Li (0.6211, 0.1171, 0.3794)
Li (0.6206, 0.3789, 0.8829)
Li (0.8829, 0.6206, 0.3789)
Ho (0.0000, 0.0000, 0.0000)
Mg (0.1402, 0.8282, 0.4146)
Mg (0.1718, 0.5854, 0.8598)
Mg (0.2430, 0.2430, 0.2430)
Mg (0.4146, 0.1402, 0.8282)
Mg (0.5854, 0.8598, 0.1718)
Mg (0.7570, 0.7570, 0.7570)
Mg (0.8282, 0.4146, 0.1402)
Mg (0.8598, 0.1718, 0.5854)


Entry 8:
Density functional theory data (PBE) for a geometry-optimized Li2HoMg structure.

ΔE_f ... 0.0836 eV/atom
Relative energy among the computed polymorphs ... 15 meV/atom
Total magnetization ... 0.5 μB per cell
VASP energy ... -9.7 eV per cell
Volume ... 89.3 Å³ per cell

Unit cell a=5.0180 b=5.0180 c=5.0180 alpha=60.00 beta=60.00 gamma=60.00
Positions (direct):
Li (0.2500, 0.2500, 0.2500)
Li (0.7500, 0.7500, 0.7500)
Ho (0.0000, 0.0000, 0.0000)
Mg (0.5000, 0.5000, 0.5000)


Entry 9:
Density functional theory data (PBE) for a geometry-optimized Li2HoMg structure.

ΔE_f ... 0.1210 eV/atom
Relative energy among the computed polymorphs ... 53 meV/atom
Total magnetization ... 0.0 μB per cell
VASP energy ... -9.5 eV per cell
Volume ... 91.5 Å³ per cell

Unit cell a=5.2571 b=5.2571 c=3.3104 alpha=90.00 beta=90.00 gamma=90.00
Positions (direct):
Li (0.0000, 0.5000, 0.0000)
Li (0.5000, 0.0000, 0.0000)
Ho (0.0000, 0.0000, 0.5000)
Mg (0.5000, 0.5000, 0.5000)


Entry 10:
Density functional theory data (PBE) for a geometry-optimized Li2HoMg structure.

ΔE_f ... 0.0684 eV/atom
Relative energy among the computed polymorphs ... 0 meV/atom
Total magnetization ... 0.0 μB per cell
VASP energy ... -9.7 eV per cell
Volume ... 91.0 Å³ per cell

Unit cell a=3.5603 b=3.5603 c=7.1757 alpha=90.00 beta=90.00 gamma=90.00
Positions (direct):
Li (0.0000, 0.0000, 0.2167)
Li (0.0000, 0.0000, 0.7833)
Ho (0.5000, 0.5000, 0.5000)
Mg (0.5000, 0.5000, 0.0000)


Entry 11:
Density functional theory data (PBE) for a geometry-optimized LiHoMg structure.

ΔE_f ... -0.0325 eV/atom
Relative energy among the computed polymorphs ... 0 meV/atom
Total magnetization ... 0.0 μB per cell
VASP energy ... -16.4 eV per cell
Volume ... 147.4 Å³ per cell

Unit cell a=3.4861 b=3.4842 c=12.1350 alpha=90.00 beta=90.03 gamma=90.00
Positions (direct):
Li (0.0000, 0.0000, 0.0000)
Li (0.4997, 0.5000, 0.1366)
Ho (0.0006, 0.0000, 0.6698)
Ho (0.5005, 0.5000, 0.4669)
Mg (0.0016, 0.0000, 0.2778)
Mg (0.5019, 0.5000, 0.8590)


Entry 12:
Density functional theory data (PBE) for a geometry-optimized Li5HoMg4 structure.

ΔE_f ... -0.0003 eV/atom
Total magnetization ... 0.0 μB per cell
VASP energy ... -20.5 eV per cell
Volume ... 213.3 Å³ per cell

Unit cell a=3.5146 b=3.5146 c=17.2688 alpha=90.00 beta=90.00 gamma=90.00
Positions (direct):
Li (0.0000, 0.0000, 0.0000)
Li (0.0000, 0.0000, 0.1919)
Li (0.0000, 0.0000, 0.3797)
Li (0.0000, 0.0000, 0.6203)
Li (0.0000, 0.0000, 0.8081)
Ho (0.5000, 0.5000, 0.5000)
Mg (0.5000, 0.5000, 0.0967)
Mg (0.5000, 0.5000, 0.2913)
Mg (0.5000, 0.5000, 0.7087)
Mg (0.5000, 0.5000, 0.9033)


Entry 13:
Density functional theory data (PBE) for a geometry-optimized LiHo2Mg3 structure.

ΔE_f ... -0.0556 eV/atom
Relative energy among the computed polymorphs ... 0 meV/atom
Total magnetization ... 0.0 μB per cell
VASP energy ... -16.2 eV per cell
Volume ... 150.6 Å³ per cell

Unit cell a=3.6423 b=3.6423 c=11.3546 alpha=90.00 beta=90.00 gamma=90.00
Positions (direct):
Li (0.0000, 0.0000, 0.0000)
Ho (0.0000, 0.0000, 0.3320)
Ho (0.0000, 0.0000, 0.6680)
Mg (0.5000, 0.5000, 0.1453)
Mg (0.5000, 0.5000, 0.5000)
Mg (0.5000, 0.5000, 0.8547)


Entry 14:
Density functional theory data (PBE) for a geometry-optimized Li4HoMg8 structure.

ΔE_f ... -0.0375 eV/atom
Total magnetization ... 0.0 μB per cell
VASP energy ... -25.5 eV per cell
Volume ... 284.8 Å³ per cell

Unit cell a=7.7565 b=7.7565 c=7.7565 alpha=96.91 beta=96.91 gamma=139.40
Positions (direct):
Li (0.0000, 0.0000, 0.5000)
Li (0.0000, 0.5000, 0.0000)
Li (0.5000, 0.0000, 0.0000)
Li (0.5000, 0.5000, 0.5000)
Ho (0.0000, 0.0000, 0.0000)
Mg (0.0000, 0.3516, 0.3516)
Mg (0.0000, 0.6484, 0.6484)
Mg (0.2890, 0.5000, 0.7890)
Mg (0.3516, 0.0000, 0.3516)
Mg (0.5000, 0.2890, 0.7890)
Mg (0.5000, 0.7110, 0.2110)
Mg (0.6484, 0.0000, 0.6484)
Mg (0.7110, 0.5000, 0.2110)


Entry 15:
Density functional theory data (PBE) for a geometry-optimized Li5HoMg5 structure.

ΔE_f ... 0.0360 eV/atom
Total magnetization ... 0.0 μB per cell
VASP energy ... -21.7 eV per cell
Volume ... 238.2 Å³ per cell

Unit cell a=5.3133 b=5.3133 c=9.7421 alpha=90.00 beta=90.00 gamma=120.00
Positions (direct):
Li (0.0000, 0.0000, 0.2347)
Li (0.0000, 0.0000, 0.7653)
Li (0.3419, 0.1709, 0.0000)
Li (0.8291, 0.1709, 0.0000)
Li (0.8291, 0.6581, 0.0000)
Ho (0.3333, 0.6667, 0.5000)
Mg (0.0000, 0.0000, 0.5000)
Mg (0.3333, 0.6667, 0.1655)
Mg (0.3333, 0.6667, 0.8345)
Mg (0.6667, 0.3333, 0.3262)
Mg (0.6667, 0.3333, 0.6738)


Entry 16:
Density functional theory data (PBE) for a geometry-optimized Li3HoMg4 structure.

ΔE_f ... -0.0549 eV/atom
Total magnetization ... 0.1 μB per cell
VASP energy ... -17.1 eV per cell
Volume ... 176.4 Å³ per cell

Unit cell a=3.4757 b=3.4757 c=14.6038 alpha=90.00 beta=90.00 gamma=90.00
Positions (direct):
Li (0.0000, 0.0000, 0.0000)
Li (0.0000, 0.0000, 0.2325)
Li (0.0000, 0.0000, 0.7675)
Ho (0.0000, 0.0000, 0.5000)
Mg (0.5000, 0.5000, 0.1139)
Mg (0.5000, 0.5000, 0.3460)
Mg (0.5000, 0.5000, 0.6540)
Mg (0.5000, 0.5000, 0.8861)


Entry 17:
Density functional theory data (PBE) for a geometry-optimized LiHo2Mg5 structure.

ΔE_f ... -0.0409 eV/atom
Total magnetization ... 0.2 μB per cell
VASP energy ... -19.4 eV per cell
Volume ... 196.8 Å³ per cell

Unit cell a=8.9381 b=8.9381 c=8.9381 alpha=148.27 beta=148.27 gamma=45.48
Positions (direct):
Li (0.0000, 0.0000, 0.0000)
Ho (0.2540, 0.2540, 0.0000)
Ho (0.7460, 0.7460, 0.0000)
Mg (0.1121, 0.6121, 0.5000)
Mg (0.3879, 0.8879, 0.5000)
Mg (0.5000, 0.5000, 0.0000)
Mg (0.6121, 0.1121, 0.5000)
Mg (0.8879, 0.3879, 0.5000)


Entry 18:
Density functional theory data (PBE) for a geometry-optimized Li5HoMg7 structure.

ΔE_f ... -0.0236 eV/atom
Total magnetization ... 0.0 μB per cell
VASP energy ... -25.6 eV per cell
Volume ... 282.2 Å³ per cell

Unit cell a=7.7113 b=7.7113 c=7.7113 alpha=138.92 beta=97.45 gamma=96.69
Positions (direct):
Li (0.0000, 0.0000, 0.0000)
Li (0.2135, 0.2148, 0.4978)
Li (0.2135, 0.7157, 0.9987)
Li (0.7169, 0.2148, 0.0013)
Li (0.7169, 0.7157, 0.5022)
Ho (0.2180, 0.7180, 0.5000)
Mg (0.0074, 0.2132, 0.7943)
Mg (0.4189, 0.2132, 0.2057)
Mg (0.4273, 0.4273, 0.0000)
Mg (0.5654, 0.7151, 0.8504)
Mg (0.5669, 0.0669, 0.5000)
Mg (0.8647, 0.7151, 0.1496)
Mg (0.8668, 0.3668, 0.5000)


Entry 19:
Density functional theory data (PBE) for a geometry-optimized Li2HoMg10 structure.

ΔE_f ... -0.0196 eV/atom
Total magnetization ... 0.0 μB per cell
VASP energy ... -24.6 eV per cell
Volume ... 296.4 Å³ per cell

Unit cell a=5.6339 b=7.7652 c=7.7760 alpha=82.56 beta=69.08 gamma=68.86
Positions (direct):
Li (0.0000, 0.0000, 0.0000)
Li (0.5000, 0.0000, 0.0000)
Ho (0.0000, 0.0000, 0.5000)
Mg (0.0000, 0.5000, 0.5000)
Mg (0.0069, 0.3425, 0.1426)
Mg (0.2881, 0.2060, 0.7171)
Mg (0.3492, 0.6573, 0.1427)
Mg (0.4958, 0.7945, 0.7166)
Mg (0.5000, 0.5000, 0.5000)
Mg (0.5042, 0.2055, 0.2834)
Mg (0.6508, 0.3427, 0.8573)
Mg (0.7119, 0.7940, 0.2829)
Mg (0.9931, 0.6575, 0.8574)


Entry 20:
Density functional theory data (PBE) for a geometry-optimized Li2Ho3Mg7 structure.

ΔE_f ... -0.0094 eV/atom
Relative energy among the computed polymorphs ... 0 meV/atom
Total magnetization ... 0.0 μB per cell
VASP energy ... -28.8 eV per cell
Volume ... 293.3 Å³ per cell

Unit cell a=9.9914 b=9.9914 c=9.9914 alpha=35.02 beta=35.02 gamma=35.02
Positions (direct):
Li (0.1662, 0.1662, 0.1662)
Li (0.8338, 0.8338, 0.8338)
Ho (0.3598, 0.3598, 0.3598)
Ho (0.5000, 0.5000, 0.5000)
Ho (0.6402, 0.6402, 0.6402)
Mg (0.0000, 0.0000, 0.0000)
Mg (0.0828, 0.0828, 0.5760)
Mg (0.0828, 0.5760, 0.0828)
Mg (0.4240, 0.9172, 0.9172)
Mg (0.5760, 0.0828, 0.0828)
Mg (0.9172, 0.4240, 0.9172)
Mg (0.9172, 0.9172, 0.4240)